First-principles (PBE-GGA) data for an optimized crystal structure of Ba3Li3Cd8, as listed in Alexandria.

The structure in CIF format:
```
data_Ba3Li3Cd8
_chemical_formula_sum 'Ba6 Li6 Cd16'
_cell_length_a 5.156
_cell_length_b 10.434
_cell_length_c 14.799
_cell_angle_alpha 90.00
_cell_angle_beta 90.00
_cell_angle_gamma 90.00
_symmetry_space_group_name_H-M 'I m m m'
_symmetry_Int_Tables_number 71
_symmetry_space_group_name_Hall '-I 2 2'
loop_
_atom_site_label
_atom_site_type_symbol
_atom_site_fract_x
_atom_site_fract_y
_atom_site_fract_z
_atom_site_occupancy
Ba1 Ba 0.000 0.000 0.000 1
Ba2 Ba 0.000 0.000 0.294 1
Li1 Li 0.000 0.200 0.500 1
Li2 Li 0.000 0.500 0.000 1
Cd1 Cd 0.000 0.293 0.122 1
Cd2 Cd 0.000 0.350 0.335 1
```

Results
- energy of formation (eV/atom) = -0.263
- Fermi-level density of states (states/eV/cell) = 24.6